1.
Here is a relaxed YBePt crystal from the Alexandria database. Energies are from PBE.

Output
Crystal system: orthorhombic
Space-group type: Imm2, No. 44
Energy above the lowest structure with this stoichiometry in eV per atom: 0.266
D(E_F) in states/eV per atom: 0.679

The structure in CIF format:
```
data_YBePt
_chemical_formula_sum 'Y1 Be1 Pt1'
_cell_length_a 5.472
_cell_length_b 5.472
_cell_length_c 5.472
_cell_angle_alpha 145.40
_cell_angle_beta 145.51
_cell_angle_gamma 49.65
_space_group_name_H-M_alt 'P 1'
_space_group_IT_number 1
_space_group_name_Hall 'P 1'
loop_
_atom_site_label
_atom_site_fract_x
_atom_site_fract_y
_atom_site_fract_z
_atom_site_occupancy
Pt1 0.373 0.373 0.000 1
Y1 0.668 0.668 0.000 1
Be1 0.959 0.959 0.000 1
```



2.
Here is a relaxed Y2BePt6 crystal from the Alexandria database. Energies are from PBE.

Output
Crystal system: monoclinic
Space-group type: C2/m, No. 12
Raw total energy in Ry per atom: -0.508
D(E_F) in states/eV per atom: 0.146

The structure in CIF format:
```
data_Y2BePt6
_chemical_formula_sum 'Y2 Be1 Pt6'
_cell_length_a 6.057
_cell_length_b 6.057
_cell_length_c 5.983
_cell_angle_alpha 59.09
_cell_angle_beta 59.09
_cell_angle_gamma 59.09
_space_group_name_H-M_alt 'P 1'
_space_group_IT_number 1
_space_group_name_Hall 'P 1'
loop_
_atom_site_label
_atom_site_fract_x
_atom_site_fract_y
_atom_site_fract_z
_atom_site_occupancy
Be1 0.500 0.500 0.500 1
Pt1 0.761 0.761 0.244 1
Pt2 0.241 0.764 0.759 1
Pt3 0.236 0.759 0.241 1
Pt4 0.759 0.236 0.241 1
Pt5 0.239 0.239 0.756 1
Pt6 0.764 0.241 0.759 1
Y1 0.250 0.250 0.245 1
Y2 0.750 0.750 0.755 1
```



Number 1: total moment 0.000 μB per atom. Number 2: total moment 0.000 μB per atom.